Er5CdGa2: relaxed, PBE-GGA.

Output
distance to the lowest polymorph of the same formula: 0.221 eV/atom
energy of formation: -0.182 eV per atom

Geometry as POSCAR:
```
Er5CdGa2
1.0
2.608 -5.257 0.000
2.608 5.257 0.000
0.000 0.000 15.726
Er Cd Ga
10 2 4
direct
0.078 0.922 0.596
0.078 0.922 0.904
0.355 0.645 0.250
0.382 0.618 0.563
0.382 0.618 0.937
0.618 0.382 0.063
0.618 0.382 0.437
0.645 0.355 0.750
0.922 0.078 0.096
0.922 0.078 0.404
0.318 0.682 0.750
0.682 0.318 0.250
0.225 0.775 0.088
0.225 0.775 0.412
0.775 0.225 0.588
0.775 0.225 0.912
```


NdMoN3: relaxed, PBE-GGA.

Output
raw formation energy: -844.3 meV/atom

Geometry as POSCAR:
```
NdMoN3
1.0
5.511 -4.924 0.000
5.511 4.924 0.000
-2.152 0.000 5.981
Nd Mo N
4 4 12
direct
0.090 0.910 0.750
0.310 0.690 0.250
0.690 0.310 0.750
0.910 0.090 0.250
0.200 0.380 0.758
0.380 0.200 0.258
0.620 0.800 0.742
0.800 0.620 0.242
0.000 0.225 0.654
0.000 0.775 0.346
0.116 0.615 0.851
0.225 0.000 0.154
0.341 0.365 0.528
0.365 0.341 0.028
0.385 0.884 0.649
0.615 0.116 0.351
0.635 0.659 0.972
0.659 0.635 0.472
0.775 0.000 0.846
0.884 0.385 0.149
```


Ac3AgRh2: relaxed, PBE-GGA.

Output
distance to the lowest polymorph of the same formula: 0.000 eV/atom
energy of formation: -0.499 eV per atom

Geometry as POSCAR:
```
Ac3AgRh2
1.0
7.040 -3.114 0.000
7.040 3.114 0.000
-2.646 0.000 8.222
Ac Ag Rh
6 2 4
direct
0.001 0.999 0.750
0.312 0.313 0.906
0.313 0.312 0.406
0.687 0.688 0.594
0.688 0.687 0.094
0.999 0.001 0.250
0.498 0.502 0.250
0.502 0.498 0.750
0.159 0.160 0.580
0.160 0.159 0.080
0.840 0.841 0.920
0.841 0.840 0.420
```


Record-wise raw total energy values, in eV/atom: -3.9046, -8.9593, -5.4793
Record-wise magnetic moment values, in Bohr magnetons per cell: 0.0, 0.0, 0.0